Density functional theory data (PBE) for crystalline CoSiTe2Se at its relaxed geometry.

Lattice parameters (Å, degrees): 5.139 4.260 5.139 90.00 90.00 90.00
Fractional positions:
Si1 0.000 0.500 0.000
Se1 0.500 0.500 0.500
Te1 0.500 0.000 0.000
Te2 0.000 0.000 0.500
Co1 0.000 0.000 0.000

Results
VASP energy (eV/atom): -4.106
Spin magnetization (Bohr magnetons per cell): 0.00
Mass density (kg/m3): 6215
Energy relative to the elements, uncorrected (eV/atom): 0.354
Space group: P4/mmm, No. 123